# 1
Entry from Alexandria via LeMat-Bulk: a relaxed La2MoP crystal (PBE).

Results
Space group: Amm2
Calculated formation energy, eV per atom: -0.457
Calculated total energy, eV/atom: -6.981
Magnetization, μB per atom: 0.000
Calculated volume, Å³ per cell: 100

Unit cell a=5.9217 b=5.9217 c=4.1516 alpha=90.00 beta=90.00 gamma=136.45
Positions (direct):
La 0.6111 0.3889 0.5000
La 0.8876 0.1124 0.0000
Mo 0.1862 0.8138 0.0000
P 0.3095 0.6905 0.5000

# 2
Entry from Alexandria via LeMat-Bulk: a relaxed LaMo2P crystal (PBE).

Results
Space group: R-3m
Calculated formation energy, eV per atom: 0.117
Calculated total energy, eV/atom: -7.882
Magnetization, μB per atom: 0.000
Calculated volume, Å³ per cell: 82

Unit cell a=7.9420 b=7.9420 c=7.9420 alpha=25.59 beta=25.59 gamma=25.59
Positions (direct):
Mo 0.7805 0.7805 0.7805
Mo 0.2195 0.2195 0.2195
P 0.5000 0.5000 0.5000
La 0.0000 0.0000 0.0000

# 3
Entry from Alexandria via LeMat-Bulk: a relaxed LaMo2P crystal (PBE).

Results
Space group: R3m
Calculated formation energy, eV per atom: 0.118
Calculated total energy, eV/atom: -7.882
Magnetization, μB per atom: 0.000
Calculated volume, Å³ per cell: 79

Unit cell a=8.1229 b=8.1229 c=8.1229 alpha=24.19 beta=24.19 gamma=24.19
Positions (direct):
P 0.4858 0.4858 0.4858
Mo 0.7573 0.7573 0.7573
Mo 0.0125 0.0125 0.0125
La 0.2443 0.2443 0.2443

# 4
Entry from Alexandria via LeMat-Bulk: a relaxed LaMo2P crystal (PBE).

Results
Space group: P4/mmm
Calculated formation energy, eV per atom: 0.339
Calculated total energy, eV/atom: -7.661
Magnetization, μB per atom: 0.000
Calculated volume, Å³ per cell: 74

Unit cell a=4.0943 b=4.0943 c=4.4412 alpha=90.00 beta=90.00 gamma=90.00
Positions (direct):
La 0.0000 0.0000 0.5000
Mo 0.5000 0.0000 0.0000
Mo 0.0000 0.5000 0.0000
P 0.5000 0.5000 0.5000

# 5
Entry from Alexandria via LeMat-Bulk: a relaxed LaMo2P crystal (PBE).

Results
Space group: R3m
Calculated formation energy, eV per atom: -0.301
Calculated total energy, eV/atom: -8.301
Magnetization, μB per atom: 0.000
Calculated volume, Å³ per cell: 84

Unit cell a=5.8496 b=5.8496 c=5.8496 alpha=42.87 beta=42.87 gamma=42.87
Positions (direct):
P 0.4527 0.4527 0.4527
Mo 0.0462 0.0462 0.0462
Mo 0.7577 0.7577 0.7577
La 0.2506 0.2506 0.2506

# 6
Entry from Alexandria via LeMat-Bulk: a relaxed LaMo2P crystal (PBE).

Results
Space group: Pm
Calculated formation energy, eV per atom: -0.224
Calculated total energy, eV/atom: -8.224
Magnetization, μB per atom: 0.000
Calculated volume, Å³ per cell: 82

Unit cell a=4.1039 b=3.4110 c=5.9823 alpha=79.78 beta=90.00 gamma=90.00
Positions (direct):
Mo 0.0000 0.9418 0.1567
Mo 0.5000 0.4215 0.1977
La 0.5000 0.7855 0.6866
P 0.0000 0.3512 0.4590

# 7
Entry from Alexandria via LeMat-Bulk: a relaxed LaMo2P crystal (PBE).

Results
Space group: P4/mmm
Calculated formation energy, eV per atom: 0.125
Calculated total energy, eV/atom: -7.875
Magnetization, μB per atom: 0.000
Calculated volume, Å³ per cell: 76

Unit cell a=3.2176 b=3.2176 c=7.3733 alpha=90.00 beta=90.00 gamma=90.00
Positions (direct):
Mo 0.0000 0.0000 0.1661
Mo 0.0000 0.0000 0.8339
P 0.5000 0.5000 0.0000
La 0.5000 0.5000 0.5000

# 8
Entry from Alexandria via LeMat-Bulk: a relaxed La2MoP crystal (PBE).

Results
Space group: I-4m2
Calculated formation energy, eV per atom: 0.000
Calculated total energy, eV/atom: -6.524
Magnetization, μB per atom: 0.648
Calculated volume, Å³ per cell: 95

Unit cell a=5.8809 b=5.8809 c=5.8809 alpha=136.62 beta=136.62 gamma=63.02
Last column: magnetic moment on the atom in μB.
Positions (direct):
Mo 0.5000 0.5000 0.0000  1.96
La 0.2500 0.7500 0.5000  0.07
La 0.0000 0.0000 0.0000  0.04
P 0.7500 0.2500 0.5000  0.05

# 9
Entry from Alexandria via LeMat-Bulk: a relaxed LaMo2P crystal (PBE).

Results
Space group: F-43m
Calculated formation energy, eV per atom: 0.299
Calculated total energy, eV/atom: -7.701
Magnetization, μB per atom: 0.000
Calculated volume, Å³ per cell: 74

Unit cell a=4.7205 b=4.7205 c=4.7205 alpha=60.00 beta=60.00 gamma=60.00
Positions (direct):
P 0.2500 0.2500 0.2500
Mo 0.0000 0.0000 0.0000
Mo 0.7500 0.7500 0.7500
La 0.5000 0.5000 0.5000

# 10
Entry from Alexandria via LeMat-Bulk: a relaxed LaMo4P crystal (PBE).

Results
Space group: F-43m
Calculated formation energy, eV per atom: 0.538
Calculated total energy, eV/atom: -8.406
Magnetization, μB per atom: 0.000
Calculated volume, Å³ per cell: 113

Unit cell a=5.4226 b=5.4226 c=5.4226 alpha=60.00 beta=60.00 gamma=60.00
Positions (direct):
Mo 0.3770 0.3770 0.3770
Mo 0.3770 0.3770 0.8689
Mo 0.8689 0.3770 0.3770
Mo 0.3770 0.8689 0.3770
La 0.0000 0.0000 0.0000
P 0.7500 0.7500 0.7500

# 11
Entry from Alexandria via LeMat-Bulk: a relaxed LaMo2P crystal (PBE).

Results
Space group: P2/m
Calculated formation energy, eV per atom: 0.254
Calculated total energy, eV/atom: -7.746
Magnetization, μB per atom: 0.000
Calculated volume, Å³ per cell: 72

Unit cell a=3.3982 b=4.6097 c=4.8698 alpha=71.64 beta=90.00 gamma=90.00
Positions (direct):
P 0.5000 0.5000 0.0000
Mo 0.0000 0.0000 0.0000
Mo 0.5000 0.0000 0.5000
La 0.0000 0.5000 0.5000

# 12
Entry from Alexandria via LeMat-Bulk: a relaxed La2MoP crystal (PBE).

Results
Space group: R-3m
Calculated formation energy, eV per atom: -0.068
Calculated total energy, eV/atom: -6.592
Magnetization, μB per atom: 0.513
Calculated volume, Å³ per cell: 110

Unit cell a=8.2400 b=8.2400 c=8.2400 alpha=28.08 beta=28.08 gamma=28.08
Last column: magnetic moment on the atom in μB.
Positions (direct):
Mo 0.5000 0.5000 0.5000  1.75
La 0.7432 0.7432 0.7432  0.02
La 0.2568 0.2568 0.2568  0.02
P 0.0000 0.0000 0.0000  0.04

# 13
Entry from Alexandria via LeMat-Bulk: a relaxed LaMo2P crystal (PBE).

Results
Space group: Imm2
Calculated formation energy, eV per atom: 0.235
Calculated total energy, eV/atom: -7.765
Magnetization, μB per atom: 0.000
Calculated volume, Å³ per cell: 72

Unit cell a=5.7190 b=5.7190 c=5.7190 alpha=146.43 beta=135.27 gamma=57.07
Positions (direct):
La 0.7368 0.2368 0.5000
Mo 0.0099 0.0099 0.0000
Mo 0.2824 0.7824 0.5000
P 0.4708 0.4708 0.0000

# 14
Entry from Alexandria via LeMat-Bulk: a relaxed La2MoP crystal (PBE).

Results
Space group: P4/mmm
Calculated formation energy, eV per atom: -0.153
Calculated total energy, eV/atom: -6.677
Magnetization, μB per atom: 0.182
Calculated volume, Å³ per cell: 94

Unit cell a=4.9008 b=4.9008 c=3.8949 alpha=90.00 beta=90.00 gamma=90.00
Last column: magnetic moment on the atom in μB.
Positions (direct):
La 0.5000 0.0000 0.0000  0.01
La 0.0000 0.5000 0.0000  0.01
P 0.0000 0.0000 0.5000  0.00
Mo 0.5000 0.5000 0.5000  0.58

# 15
Entry from Alexandria via LeMat-Bulk: a relaxed LaMo2P crystal (PBE).

Results
Space group: Cmmm
Calculated formation energy, eV per atom: -0.008
Calculated total energy, eV/atom: -8.008
Magnetization, μB per atom: 0.000
Calculated volume, Å³ per cell: 82

Unit cell a=4.2843 b=4.2843 c=4.5166 alpha=90.00 beta=90.00 gamma=97.79
Positions (direct):
Mo 0.3213 0.6787 0.0000
Mo 0.6787 0.3213 0.0000
La 0.0000 0.0000 0.5000
P 0.5000 0.5000 0.5000

# 16
Entry from Alexandria via LeMat-Bulk: a relaxed LaMo2P crystal (PBE).

Results
Space group: Immm
Calculated formation energy, eV per atom: 0.142
Calculated total energy, eV/atom: -7.858
Magnetization, μB per atom: 0.000
Calculated volume, Å³ per cell: 76

Unit cell a=5.8293 b=5.8293 c=5.8293 alpha=150.77 beta=128.06 gamma=60.72
Positions (direct):
Mo 0.2010 0.2010 0.0000
Mo 0.7990 0.7990 0.0000
La 0.5000 0.0000 0.5000
P 0.0000 0.5000 0.5000

# 17
Entry from Alexandria via LeMat-Bulk: a relaxed LaMo2P crystal (PBE).

Results
Space group: P4mm
Calculated formation energy, eV per atom: -0.176
Calculated total energy, eV/atom: -8.176
Magnetization, μB per atom: 0.000
Calculated volume, Å³ per cell: 76

Unit cell a=3.2384 b=3.2384 c=7.2213 alpha=90.00 beta=90.00 gamma=90.00
Positions (direct):
Mo 0.5000 0.5000 0.2625
Mo 0.0000 0.0000 0.0612
La 0.5000 0.5000 0.7442
P 0.0000 0.0000 0.4320

# 18
Entry from Alexandria via LeMat-Bulk: a relaxed LaMo2P crystal (PBE).

Results
Space group: Cmmm
Calculated formation energy, eV per atom: 0.216
Calculated total energy, eV/atom: -7.784
Magnetization, μB per atom: 0.000
Calculated volume, Å³ per cell: 74

Unit cell a=3.0943 b=3.0943 c=8.4186 alpha=90.00 beta=90.00 gamma=113.15
Positions (direct):
P 0.5000 0.5000 0.5000
Mo 0.0000 0.0000 0.3079
Mo 0.0000 0.0000 0.6921
La 0.5000 0.5000 0.0000

# 19
Entry from Alexandria via LeMat-Bulk: a relaxed La2MoP crystal (PBE).

Results
Space group: Cmmm
Calculated formation energy, eV per atom: -0.157
Calculated total energy, eV/atom: -6.681
Magnetization, μB per atom: 0.201
Calculated volume, Å³ per cell: 92

Unit cell a=5.1010 b=5.1010 c=3.6551 alpha=90.00 beta=90.00 gamma=103.86
Last column: magnetic moment on the atom in μB.
Positions (direct):
La 0.0000 0.5000 0.0000  0.00
La 0.5000 0.0000 0.0000  0.00
Mo 0.0000 0.0000 0.5000  0.71
P 0.5000 0.5000 0.5000  0.00

# 20
Entry from Alexandria via LeMat-Bulk: a relaxed LaMo2P crystal (PBE).

Results
Space group: I-42d
Calculated formation energy, eV per atom: 0.120
Calculated total energy, eV/atom: -7.880
Magnetization, μB per atom: 0.000
Calculated volume, Å³ per cell: 169

Unit cell a=4.3427 b=4.3427 c=9.4896 alpha=76.77 beta=76.77 gamma=90.00
Positions (direct):
La 0.0000 0.0000 0.0000
La 0.7500 0.2500 0.5000
Mo 0.2376 0.1250 0.2500
Mo 0.8750 0.4876 0.7500
Mo 0.3750 0.7624 0.7500
Mo 0.5124 0.6250 0.2500
P 0.2500 0.7500 0.5000
P 0.5000 0.5000 0.0000